First-principles (GGA-PBE) data for a geometry-optimized LiReNi2 structure, as listed in the Alexandria database.

Calculated values
The calculation puts the energy above the most stable polymorph in this dataset at 0 meV per atom. The calculation puts the energy relative to the elements at 6 meV/atom. The crystal system is orthorhombic. As for the symmetry: No. 25. The total energy comes out at -6.48 eV per atom. The volume is 48.84 Å³/cell.

Cell: 4.271 2.546 4.492 Å, 90.03 90.00 90.00°
Sites, in units of the cell vectors:
Re1 0.000 0.625 0.441
Li1 0.500 0.625 0.822
Ni1 0.500 0.125 0.303
Ni2 0.000 0.125 0.935